1.
This record from the Alexandria database describes crystalline LiYTa2 at its relaxed geometry. The functional is PBE.

Results
Calculated total energy ... -7.52 eV per atom
Energy relative to the lowest polymorph listed for this composition ... 201 meV/atom
E_form ... 0.501 eV per atom

```
data_LiYTa2
_space_group_name_H-M_alt 'P 4/m m m'
_space_group_IT_number 123
_space_group_name_Hall '-P 4 2'
_cell_length_a 4.0160
_cell_length_b 4.0160
_cell_length_c 5.0094
_cell_angle_alpha 90.00
_cell_angle_beta 90.00
_cell_angle_gamma 90.00
loop_
_atom_site_label
_atom_site_fract_x
_atom_site_fract_y
_atom_site_fract_z
Li1 0.0000 0.0000 0.0000
Y1 0.5000 0.5000 0.0000
Ta1 0.0000 0.5000 0.5000
```


2.
This record from the Alexandria database describes crystalline LiYTa2 at its relaxed geometry. The functional is PBE.

Results
Calculated total energy ... -7.45 eV per atom
Energy relative to the lowest polymorph listed for this composition ... 268 meV/atom
E_form ... 0.568 eV per atom

```
data_LiYTa2
_space_group_name_H-M_alt 'C m m m'
_space_group_IT_number 65
_space_group_name_Hall '-C 2 2'
_cell_length_a 3.2844
_cell_length_b 4.6840
_cell_length_c 10.6255
_cell_angle_alpha 90.00
_cell_angle_beta 90.00
_cell_angle_gamma 90.00
loop_
_atom_site_label
_atom_site_fract_x
_atom_site_fract_y
_atom_site_fract_z
Li1 0.0000 0.0000 0.0000
Y1 0.0000 0.0000 0.5000
Ta1 0.0000 0.5000 0.2428
```


3.
This record from the Alexandria database describes crystalline Li3YTa at its relaxed geometry. The functional is PBE.

Results
Calculated total energy ... -3.20 eV per atom
Energy relative to the lowest polymorph listed for this composition ... 441 meV/atom
E_form ... 1.608 eV per atom

```
data_Li3YTa
_space_group_name_H-M_alt 'P m -3 m'
_space_group_IT_number 221
_space_group_name_Hall '-P 4 2 3'
_cell_length_a 4.5834
_cell_length_b 4.5834
_cell_length_c 4.5834
_cell_angle_alpha 90.00
_cell_angle_beta 90.00
_cell_angle_gamma 90.00
loop_
_atom_site_label
_atom_site_fract_x
_atom_site_fract_y
_atom_site_fract_z
Li1 0.0000 0.0000 0.5000
Y1 0.0000 0.0000 0.0000
Ta1 0.5000 0.5000 0.5000
```


4.
This record from the Alexandria database describes crystalline LiYTa2 at its relaxed geometry. The functional is PBE.

Results
Calculated total energy ... -7.58 eV per atom
Energy relative to the lowest polymorph listed for this composition ... 139 meV/atom
E_form ... 0.439 eV per atom

```
data_LiYTa2
_space_group_name_H-M_alt 'R 3 m'
_space_group_IT_number 160
_space_group_name_Hall 'R 3 -2"'
_cell_length_a 3.0784
_cell_length_b 3.0784
_cell_length_c 31.2621
_cell_angle_alpha 90.00
_cell_angle_beta 90.00
_cell_angle_gamma 120.00
loop_
_atom_site_label
_atom_site_fract_x
_atom_site_fract_y
_atom_site_fract_z
Li1 0.0000 0.0000 0.0000
Y1 0.0000 0.0000 0.2377
Ta1 0.0000 0.0000 0.4879
Ta2 0.0000 0.0000 0.7461
```


5.
This record from the Alexandria database describes crystalline Li4YTa at its relaxed geometry. The functional is PBE.

Results
Calculated total energy ... -3.87 eV per atom
E_form ... 0.457 eV per atom

```
data_Li4YTa
_space_group_name_H-M_alt 'F -4 3 m'
_space_group_IT_number 216
_space_group_name_Hall 'F -4 2 3'
_cell_length_a 7.7238
_cell_length_b 7.7238
_cell_length_c 7.7238
_cell_angle_alpha 90.00
_cell_angle_beta 90.00
_cell_angle_gamma 90.00
loop_
_atom_site_label
_atom_site_fract_x
_atom_site_fract_y
_atom_site_fract_z
Li1 0.1229 0.1229 0.1229
Y1 0.0000 0.0000 0.5000
Ta1 0.2500 0.2500 0.7500
```


6.
This record from the Alexandria database describes crystalline LiYTa at its relaxed geometry. The functional is PBE.

Results
Calculated total energy ... -6.32 eV per atom
Energy relative to the lowest polymorph listed for this composition ... 0 meV/atom
E_form ... 0.423 eV per atom

```
data_LiYTa
_space_group_name_H-M_alt 'I 4 m m'
_space_group_IT_number 107
_space_group_name_Hall 'I 4 -2'
_cell_length_a 3.0653
_cell_length_b 3.0653
_cell_length_c 14.1321
_cell_angle_alpha 90.00
_cell_angle_beta 90.00
_cell_angle_gamma 90.00
loop_
_atom_site_label
_atom_site_fract_x
_atom_site_fract_y
_atom_site_fract_z
Li1 0.0000 0.0000 0.0000
Y1 0.0000 0.0000 0.6901
Ta1 0.0000 0.0000 0.3486
```


7.
This record from the Alexandria database describes crystalline Li2YTa at its relaxed geometry. The functional is PBE.

Results
Calculated total energy ... -5.02 eV per atom
Energy relative to the lowest polymorph listed for this composition ... 213 meV/atom
E_form ... 0.512 eV per atom

```
data_Li2YTa
_space_group_name_H-M_alt 'P m m m'
_space_group_IT_number 47
_cell_length_a 3.0202
_cell_length_b 5.1147
_cell_length_c 5.5934
_cell_angle_alpha 90.00
_cell_angle_beta 90.00
_cell_angle_gamma 90.00
loop_
_space_group_symop_operation_xyz
'x,y,z'
'-x,-y,-z'
'-x,-y,z'
'x,y,-z'
'x,-y,-z'
'-x,y,z'
'-x,y,-z'
'x,-y,z'
loop_
_atom_site_label
_atom_site_fract_x
_atom_site_fract_y
_atom_site_fract_z
Li1 0.0000 0.0000 0.0000
Li2 0.5000 0.5000 0.0000
Y1 0.0000 0.5000 0.5000
Ta1 0.5000 0.0000 0.5000
```


8.
This record from the Alexandria database describes crystalline LiYTa2 at its relaxed geometry. The functional is PBE.

Results
Calculated total energy ... -7.44 eV per atom
Energy relative to the lowest polymorph listed for this composition ... 286 meV/atom
E_form ... 0.585 eV per atom

```
data_LiYTa2
_space_group_name_H-M_alt 'P 4/m m m'
_space_group_IT_number 123
_space_group_name_Hall '-P 4 2'
_cell_length_a 2.9075
_cell_length_b 2.9075
_cell_length_c 9.3176
_cell_angle_alpha 90.00
_cell_angle_beta 90.00
_cell_angle_gamma 90.00
loop_
_atom_site_label
_atom_site_fract_x
_atom_site_fract_y
_atom_site_fract_z
Li1 0.0000 0.0000 0.0000
Y1 0.0000 0.0000 0.5000
Ta1 0.5000 0.5000 0.2263
```


9.
This record from the Alexandria database describes crystalline LiYTa4 at its relaxed geometry. The functional is PBE.

Results
Calculated total energy ... -8.84 eV per atom
E_form ... 0.462 eV per atom

```
data_LiYTa4
_space_group_name_H-M_alt 'F -4 3 m'
_space_group_IT_number 216
_space_group_name_Hall 'F -4 2 3'
_cell_length_a 8.0008
_cell_length_b 8.0008
_cell_length_c 8.0008
_cell_angle_alpha 90.00
_cell_angle_beta 90.00
_cell_angle_gamma 90.00
loop_
_atom_site_label
_atom_site_fract_x
_atom_site_fract_y
_atom_site_fract_z
Li1 0.0000 0.0000 0.0000
Y1 0.2500 0.2500 0.2500
Ta1 0.1229 0.1229 0.6229
```


10.
This record from the Alexandria database describes crystalline LiYTa at its relaxed geometry. The functional is PBE.

Results
Calculated total energy ... -6.28 eV per atom
Energy relative to the lowest polymorph listed for this composition ... 37 meV/atom
E_form ... 0.460 eV per atom

```
data_LiYTa
_space_group_name_H-M_alt 'P 3 m 1'
_space_group_IT_number 156
_cell_length_a 3.1325
_cell_length_b 3.1325
_cell_length_c 7.9800
_cell_angle_alpha 90.00
_cell_angle_beta 90.00
_cell_angle_gamma 120.00
loop_
_space_group_symop_operation_xyz
'x,y,z'
'-y,x-y,z'
'-x+y,-x,z'
'-y,-x,z'
'-x+y,y,z'
'x,x-y,z'
loop_
_atom_site_label
_atom_site_fract_x
_atom_site_fract_y
_atom_site_fract_z
Li1 0.0000 0.0000 0.0000
Y1 0.3333 0.6667 0.6254
Ta1 0.6667 0.3333 0.3097
```


11.
This record from the Alexandria database describes crystalline Li2YTa at its relaxed geometry. The functional is PBE.

Results
Calculated total energy ... -4.96 eV per atom
Energy relative to the lowest polymorph listed for this composition ... 273 meV/atom
E_form ... 0.572 eV per atom

```
data_Li2YTa
_space_group_name_H-M_alt 'P m m m'
_space_group_IT_number 47
_cell_length_a 2.9617
_cell_length_b 4.3626
_cell_length_c 6.1634
_cell_angle_alpha 90.00
_cell_angle_beta 90.00
_cell_angle_gamma 90.00
loop_
_space_group_symop_operation_xyz
'x,y,z'
'-x,-y,-z'
'-x,-y,z'
'x,y,-z'
'x,-y,-z'
'-x,y,z'
'-x,y,-z'
'x,-y,z'
loop_
_atom_site_label
_atom_site_fract_x
_atom_site_fract_y
_atom_site_fract_z
Li1 0.0000 0.0000 0.2146
Y1 0.5000 0.5000 0.5000
Ta1 0.5000 0.5000 0.0000
```


12.
This record from the Alexandria database describes crystalline LiYTa2 at its relaxed geometry. The functional is PBE.

Results
Calculated total energy ... -7.60 eV per atom
Energy relative to the lowest polymorph listed for this composition ... 120 meV/atom
E_form ... 0.420 eV per atom

```
data_LiYTa2
_space_group_name_H-M_alt 'I -4 m 2'
_space_group_IT_number 119
_space_group_name_Hall 'I -4 -2'
_cell_length_a 4.7991
_cell_length_b 4.7991
_cell_length_c 6.8012
_cell_angle_alpha 90.00
_cell_angle_beta 90.00
_cell_angle_gamma 90.00
loop_
_atom_site_label
_atom_site_fract_x
_atom_site_fract_y
_atom_site_fract_z
Li1 0.0000 0.0000 0.0000
Y1 0.0000 0.5000 0.7500
Ta1 0.0000 0.0000 0.5000
Ta2 0.0000 0.5000 0.2500
```